# 1
! Sr2CdHg8, optimized geometry, DFT GGA-PBE; values from VASP
! - ρ: 10274 kg/m³
! - Total moment: 0.00 μB/cell
! - Symmetry: No. 12
&SYSTEM
  ibrav = 0, nat = 11, ntyp = 3
/
ATOMIC_SPECIES
Sr 87.62 Sr.upf
Cd 112.41 Cd.upf
Hg 200.59 Hg.upf
ATOMIC_POSITIONS crystal
Sr 0.208 0.208 0.182
Sr 0.792 0.792 0.818
Cd 0.500 0.500 0.500
Hg 0.008 0.008 0.225
Hg 0.156 0.156 0.656
Hg 0.356 0.356 0.628
Hg 0.396 0.396 0.078
Hg 0.604 0.604 0.922
Hg 0.644 0.644 0.372
Hg 0.844 0.844 0.344
Hg 0.992 0.992 0.775
CELL_PARAMETERS angstrom
8.532 -2.635 0.000
8.532 2.635 0.000
-2.557 0.000 6.803

=====

# 2
! Sr4CdHg3, optimized geometry, DFT GGA-PBE; values from VASP
! - ρ: 6797 kg/m³
! - Total moment: 0.00 μB/cell
! - Symmetry: No. 12
! - Energy relative to the lowest polymorph listed for this composition: 0 meV per atom
&SYSTEM
  ibrav = 0, nat = 16, ntyp = 3
/
ATOMIC_SPECIES
Sr 87.62 Sr.upf
Cd 112.41 Cd.upf
Hg 200.59 Hg.upf
ATOMIC_POSITIONS crystal
Sr 0.126 0.000 0.126
Sr 0.126 0.500 0.626
Sr 0.374 0.000 0.374
Sr 0.374 0.500 0.874
Sr 0.626 0.000 0.626
Sr 0.626 0.500 0.126
Sr 0.874 0.000 0.874
Sr 0.874 0.500 0.374
Cd 0.000 0.000 0.500
Cd 0.500 0.500 0.500
Hg 0.000 0.500 0.000
Hg 0.248 0.000 0.748
Hg 0.252 0.500 0.252
Hg 0.500 0.000 0.000
Hg 0.748 0.500 0.748
Hg 0.752 0.000 0.252
CELL_PARAMETERS angstrom
17.090 0.000 0.000
0.000 5.680 0.000
-1.881 0.000 5.359

=====

# 3
! SrCd2Hg5, optimized geometry, DFT GGA-PBE; values from VASP
! - ρ: 10141 kg/m³
! - Total moment: 0.00 μB/cell
! - Symmetry: No. 71
&SYSTEM
  ibrav = 0, nat = 16, ntyp = 3
/
ATOMIC_SPECIES
Sr 87.62 Sr.upf
Cd 112.41 Cd.upf
Hg 200.59 Hg.upf
ATOMIC_POSITIONS crystal
Sr 0.000 0.000 0.000
Sr 0.500 0.500 0.500
Cd 0.000 0.500 0.242
Cd 0.000 0.500 0.758
Cd 0.500 0.000 0.258
Cd 0.500 0.000 0.742
Hg 0.000 0.216 0.376
Hg 0.000 0.216 0.624
Hg 0.000 0.500 0.000
Hg 0.000 0.784 0.376
Hg 0.000 0.784 0.624
Hg 0.500 0.000 0.500
Hg 0.500 0.284 0.124
Hg 0.500 0.284 0.876
Hg 0.500 0.716 0.124
Hg 0.500 0.716 0.876
CELL_PARAMETERS angstrom
4.109 0.000 0.000
0.000 8.173 0.000
0.000 0.000 12.828

=====

# 4
! SrCd2Hg4, optimized geometry, DFT GGA-PBE; values from VASP
! - ρ: 9378 kg/m³
! - Total moment: 0.00 μB/cell
! - Symmetry: No. 141
! - Energy relative to the lowest polymorph listed for this composition: 49 meV per atom
&SYSTEM
  ibrav = 0, nat = 14, ntyp = 3
/
ATOMIC_SPECIES
Sr 87.62 Sr.upf
Cd 112.41 Cd.upf
Hg 200.59 Hg.upf
ATOMIC_POSITIONS crystal
Sr 0.375 0.625 0.750
Sr 0.625 0.375 0.250
Cd 0.000 0.000 0.000
Cd 0.000 0.000 0.500
Cd 0.000 0.500 0.000
Cd 0.500 0.000 0.500
Hg 0.179 0.225 0.545
Hg 0.179 0.634 0.955
Hg 0.225 0.179 0.045
Hg 0.366 0.821 0.545
Hg 0.634 0.179 0.455
Hg 0.775 0.821 0.955
Hg 0.821 0.366 0.045
Hg 0.821 0.775 0.455
CELL_PARAMETERS angstrom
-3.451 3.451 8.289
3.451 -3.451 8.289
3.451 3.451 -8.289

=====

# 5
! Sr3Cd7Hg2, optimized geometry, DFT GGA-PBE; values from VASP
! - ρ: 7302 kg/m³
! - Total moment: 0.00 μB/cell
! - Symmetry: No. 166
&SYSTEM
  ibrav = 0, nat = 12, ntyp = 3
/
ATOMIC_SPECIES
Sr 87.62 Sr.upf
Cd 112.41 Cd.upf
Hg 200.59 Hg.upf
ATOMIC_POSITIONS crystal
Sr 0.000 0.000 0.000
Sr 0.143 0.143 0.143
Sr 0.857 0.857 0.857
Cd 0.077 0.588 0.588
Cd 0.412 0.412 0.923
Cd 0.412 0.923 0.412
Cd 0.500 0.500 0.500
Cd 0.588 0.077 0.588
Cd 0.588 0.588 0.077
Cd 0.923 0.412 0.412
Hg 0.336 0.336 0.336
Hg 0.664 0.664 0.664
CELL_PARAMETERS angstrom
3.092 1.785 9.961
-3.092 1.785 9.961
0.000 -3.571 9.961

=====

# 6
! SrCdHg4, optimized geometry, DFT GGA-PBE; values from VASP
! - ρ: 10323 kg/m³
! - Total moment: 0.00 μB/cell
! - Symmetry: No. 10
! - Energy relative to the lowest polymorph listed for this composition: 7 meV per atom
&SYSTEM
  ibrav = 0, nat = 6, ntyp = 3
/
ATOMIC_SPECIES
Sr 87.62 Sr.upf
Cd 112.41 Cd.upf
Hg 200.59 Hg.upf
ATOMIC_POSITIONS crystal
Sr 0.000 0.000 0.000
Cd 0.500 0.500 0.500
Hg 0.005 0.000 0.345
Hg 0.493 0.500 0.812
Hg 0.507 0.500 0.188
Hg 0.995 0.000 0.655
CELL_PARAMETERS angstrom
3.989 0.000 0.000
0.000 3.977 0.000
-0.210 0.000 10.164

=====

# 7
! Sr2Cd3Hg5, optimized geometry, DFT GGA-PBE; values from VASP
! - ρ: 8987 kg/m³
! - Total moment: 0.00 μB/cell
! - Symmetry: No. 72
! - Energy relative to the lowest polymorph listed for this composition: 0 meV per atom
&SYSTEM
  ibrav = 0, nat = 20, ntyp = 3
/
ATOMIC_SPECIES
Sr 87.62 Sr.upf
Cd 112.41 Cd.upf
Hg 200.59 Hg.upf
ATOMIC_POSITIONS crystal
Sr 0.136 0.232 0.367
Sr 0.364 0.732 0.096
Sr 0.636 0.268 0.904
Sr 0.864 0.768 0.633
Cd 0.150 0.909 0.059
Cd 0.250 0.750 0.500
Cd 0.350 0.409 0.759
Cd 0.650 0.591 0.241
Cd 0.750 0.250 0.500
Cd 0.850 0.091 0.941
Hg 0.046 0.750 0.296
Hg 0.092 0.677 0.769
Hg 0.250 0.250 0.000
Hg 0.408 0.177 0.585
Hg 0.454 0.750 0.704
Hg 0.546 0.250 0.296
Hg 0.592 0.823 0.415
Hg 0.750 0.750 0.000
Hg 0.908 0.323 0.231
Hg 0.954 0.250 0.704
CELL_PARAMETERS angstrom
-5.747 7.308 3.333
5.747 -7.308 3.333
5.747 7.308 -3.333

=====

# 8
! SrCd5Hg7, optimized geometry, DFT GGA-PBE; values from VASP
! - ρ: 10278 kg/m³
! - Total moment: 0.00 μB/cell
! - Symmetry: No. 8
&SYSTEM
  ibrav = 0, nat = 13, ntyp = 3
/
ATOMIC_SPECIES
Sr 87.62 Sr.upf
Cd 112.41 Cd.upf
Hg 200.59 Hg.upf
ATOMIC_POSITIONS crystal
Sr 0.000 0.000 0.000
Cd 0.022 0.486 0.020
Cd 0.250 0.250 0.734
Cd 0.486 0.022 0.020
Cd 0.516 0.995 0.514
Cd 0.995 0.516 0.514
Hg 0.182 0.828 0.512
Hg 0.338 0.670 0.007
Hg 0.348 0.348 0.363
Hg 0.641 0.641 0.586
Hg 0.670 0.338 0.007
Hg 0.758 0.758 0.170
Hg 0.828 0.182 0.512
CELL_PARAMETERS angstrom
5.873 -5.324 0.000
5.873 5.324 0.000
-3.297 0.000 5.306

=====

# 9
! Sr2Cd5Hg, optimized geometry, DFT GGA-PBE; values from VASP
! - ρ: 6828 kg/m³
! - Total moment: 0.00 μB/cell
! - Symmetry: No. 63
&SYSTEM
  ibrav = 0, nat = 16, ntyp = 3
/
ATOMIC_SPECIES
Sr 87.62 Sr.upf
Cd 112.41 Cd.upf
Hg 200.59 Hg.upf
ATOMIC_POSITIONS crystal
Sr 0.000 0.000 0.000
Sr 0.000 0.000 0.500
Sr 0.195 0.805 0.750
Sr 0.805 0.195 0.250
Cd 0.190 0.810 0.108
Cd 0.190 0.810 0.392
Cd 0.352 0.648 0.025
Cd 0.352 0.648 0.475
Cd 0.394 0.606 0.750
Cd 0.606 0.394 0.250
Cd 0.648 0.352 0.525
Cd 0.648 0.352 0.975
Cd 0.810 0.190 0.608
Cd 0.810 0.190 0.892
Hg 0.449 0.551 0.250
Hg 0.551 0.449 0.750
CELL_PARAMETERS angstrom
2.434 -9.060 0.000
2.434 9.060 0.000
0.000 0.000 10.342

=====

# 10
! Sr3Cd5Hg6, optimized geometry, DFT GGA-PBE; values from VASP
! - ρ: 8843 kg/m³
! - Total moment: 0.00 μB/cell
! - Symmetry: No. 59
&SYSTEM
  ibrav = 0, nat = 28, ntyp = 3
/
ATOMIC_SPECIES
Sr 87.62 Sr.upf
Cd 112.41 Cd.upf
Hg 200.59 Hg.upf
ATOMIC_POSITIONS crystal
Sr 0.250 0.047 0.248
Sr 0.250 0.453 0.248
Sr 0.250 0.750 0.261
Sr 0.750 0.250 0.739
Sr 0.750 0.547 0.752
Sr 0.750 0.953 0.752
Cd 0.250 0.091 0.606
Cd 0.250 0.409 0.606
Cd 0.250 0.614 0.966
Cd 0.250 0.750 0.749
Cd 0.250 0.886 0.966
Cd 0.750 0.114 0.034
Cd 0.750 0.250 0.251
Cd 0.750 0.386 0.034
Cd 0.750 0.591 0.394
Cd 0.750 0.909 0.394
Hg 0.250 0.086 0.890
Hg 0.250 0.250 0.070
Hg 0.250 0.250 0.430
Hg 0.250 0.414 0.890
Hg 0.250 0.607 0.541
Hg 0.250 0.893 0.541
Hg 0.750 0.107 0.459
Hg 0.750 0.393 0.459
Hg 0.750 0.586 0.110
Hg 0.750 0.750 0.570
Hg 0.750 0.750 0.930
Hg 0.750 0.914 0.110
CELL_PARAMETERS angstrom
5.098 0.000 0.000
0.000 14.873 0.000
0.000 0.000 10.047

=====

# 11
! Sr5CdHg6, optimized geometry, DFT GGA-PBE; values from VASP
! - ρ: 7861 kg/m³
! - Total moment: 0.00 μB/cell
! - Symmetry: No. 12
&SYSTEM
  ibrav = 0, nat = 12, ntyp = 3
/
ATOMIC_SPECIES
Sr 87.62 Sr.upf
Cd 112.41 Cd.upf
Hg 200.59 Hg.upf
ATOMIC_POSITIONS crystal
Sr 0.000 0.000 0.000
Sr 0.170 0.830 0.500
Sr 0.342 0.658 0.000
Sr 0.658 0.342 0.000
Sr 0.830 0.170 0.500
Cd 0.500 0.500 0.500
Hg 0.083 0.415 0.249
Hg 0.242 0.242 0.739
Hg 0.415 0.083 0.249
Hg 0.585 0.917 0.751
Hg 0.758 0.758 0.261
Hg 0.917 0.585 0.751
CELL_PARAMETERS angstrom
4.848 -8.384 0.000
4.848 8.384 0.000
-3.180 0.000 4.558

=====

# 12
! Sr2CdHg2, optimized geometry, DFT GGA-PBE; values from VASP
! - ρ: 6679 kg/m³
! - Total moment: 0.00 μB/cell
! - Symmetry: No. 127
! - Energy relative to the lowest polymorph listed for this composition: 146 meV per atom
&SYSTEM
  ibrav = 0, nat = 10, ntyp = 3
/
ATOMIC_SPECIES
Sr 87.62 Sr.upf
Cd 112.41 Cd.upf
Hg 200.59 Hg.upf
ATOMIC_POSITIONS crystal
Sr 0.158 0.342 0.000
Sr 0.342 0.842 0.000
Sr 0.658 0.158 0.000
Sr 0.842 0.658 0.000
Cd 0.000 0.000 0.000
Cd 0.500 0.500 0.000
Hg 0.137 0.637 0.500
Hg 0.363 0.137 0.500
Hg 0.637 0.863 0.500
Hg 0.863 0.363 0.500
CELL_PARAMETERS angstrom
9.106 0.000 0.000
0.000 9.106 0.000
0.000 0.000 4.131

=====

no.,ΔH_f (0 K) (eV per atom),volume (Å³ per cell)
1,-0.282,305.87
2,-0.482,520.24
3,-0.166,430.79
4,-0.179,394.78
5,-0.284,329.93
6,-0.236,161.24
7,-0.288,560.01
8,-0.112,331.80
9,-0.310,456.19
10,-0.318,761.80
11,-0.461,370.51
12,-0.299,342.53